[1]
DFT (GGA-PBE) results for crystalline PuNbO6 at its relaxed geometry.

Unit cell a=5.649 b=5.649 c=5.649 alpha=59.49 beta=59.49 gamma=59.49
Fractional coordinates of all 8 atoms:
Pu: 0.000 0.000 0.000
Nb: 0.500 0.500 0.500
O: 0.206 0.749 0.295
O: 0.251 0.705 0.794
O: 0.295 0.206 0.749
O: 0.705 0.794 0.251
O: 0.749 0.295 0.206
O: 0.794 0.251 0.705

Results
For the magnetization, the calculation gives 1.0 μB/f.u. The value obtained for the calculated volume is 126.0 Å³/f.u. The final energy comes out at -72.47 eV/cell. The uncorrected formation energy comes out at -2290 meV/atom.


[2]
DFT (GGA-PBE) results for crystalline Er4Hg2S at its relaxed geometry.

Unit cell a=8.189 b=8.189 c=8.189 alpha=143.73 beta=143.73 gamma=52.23
Fractional coordinates of all 7 atoms:
Er: 0.000 0.500 0.500
Er: 0.186 0.186 0.000
Er: 0.500 0.000 0.500
Er: 0.814 0.814 0.000
Hg: 0.382 0.382 0.000
Hg: 0.618 0.618 0.000
S: 0.000 0.000 0.000

Results
For the magnetization, the calculation gives 0.0 μB/f.u. The value obtained for the calculated volume is 191.1 Å³/f.u. The final energy comes out at -27.94 eV/cell. The uncorrected formation energy comes out at -708 meV/atom.


[3]
DFT (GGA-PBE) results for crystalline SrZnCd4 at its relaxed geometry.

Unit cell a=8.870 b=8.870 c=7.679 alpha=90.00 beta=90.00 gamma=150.57
Fractional coordinates of all 12 atoms:
Sr: 0.122 0.878 0.750
Sr: 0.878 0.122 0.250
Zn: 0.238 0.762 0.250
Zn: 0.762 0.238 0.750
Cd: 0.074 0.926 0.250
Cd: 0.320 0.680 0.558
Cd: 0.320 0.680 0.942
Cd: 0.500 0.500 0.000
Cd: 0.500 0.500 0.500
Cd: 0.680 0.320 0.058
Cd: 0.680 0.320 0.442
Cd: 0.926 0.074 0.750

Results
For the magnetization, the calculation gives 0.0 μB/f.u. The energy of formation from the pure elements is -0.20 eV/atom. The value obtained for the calculated volume is 148.4 Å³/f.u. The final energy comes out at -15.58 eV/cell.